1.
A plane-wave DFT calculation with PBE-GGA was carried out for crystalline LiZrBe at its relaxed geometry.

Crystal system   monoclinic
Calculated formation energy   0.106 eV/f.u.
Energy above the lowest structure with this stoichiometry   0 meV/atom

a = 3.1019 Å, b = 3.8252 Å, c = 8.6370 Å
α = 90.00°, β = 100.20°, γ = 90.00°
With the nearest neighbours (Å) after each atom.
Space group P2_1/m (No. 11)
Asymmetric unit:
Li1 0.2045 0.2500 0.4131 [2 per cell]  6 Li 2.86-3.10, 1 Be 2.96, 4 Zr 3.14-3.15
Zr1 0.4108 0.2500 0.8175 [2 per cell]  6 Be 2.61-2.66
Be1 0.0321 0.2500 0.0651 [2 per cell]  2 Be 2.21

***

2.
A plane-wave DFT calculation with PBE-GGA was carried out for crystalline Ba4Sr3 at its relaxed geometry.

Crystal system   hexagonal
Calculated formation energy   0.328 eV/f.u.
Energy above the lowest structure with this stoichiometry   43 meV/atom

a = 7.9302 Å, b = 7.9302 Å, c = 7.9970 Å
α = 90.00°, β = 90.00°, γ = 120.00°
With the nearest neighbours (Å) after each atom.
Space group P6/mmm (No. 191)
Asymmetric unit:
Ba1 0.0000 0.0000 0.2441 [2 per cell]  2 Ba 3.90-4.09
Ba2 0.3333 0.6667 0.0000 [2 per cell]  9 Ba 4.58-4.98, 6 Sr 4.61
Sr1 0.0000 0.5000 0.5000 [3 per cell]  4 Sr 3.97

***

3.
A plane-wave DFT calculation with PBE-GGA was carried out for crystalline Li4In2Sb at its relaxed geometry.

Energy relative to the elements, uncorrected   -0.102 eV/atom
Crystal system   tetragonal

a = 5.1399 Å, b = 5.1399 Å, c = 14.2136 Å
α = 90.00°, β = 90.00°, γ = 90.00°
With the nearest neighbours (Å) after each atom.
Space group I4/mmm (No. 139)
Asymmetric unit:
Li1 0.0000 0.0000 0.1905 [4 per cell]  1 Sb 2.71, 1 In 2.82
Li2 0.0000 0.5000 0.0000 [4 per cell]  2 Sb 2.57
In1 0.0000 0.0000 0.3887 [4 per cell]  5 Li 2.82-3.02
Sb1 0.0000 0.0000 0.0000 [2 per cell]  6 Li 2.57-2.71

***

4.
A plane-wave DFT calculation with PBE-GGA was carried out for crystalline Li2GaI6 at its relaxed geometry.

Energy relative to the elements, uncorrected   -0.666 eV/atom
Crystal system   monoclinic

a = 12.2357 Å, b = 20.3383 Å, c = 5.9315 Å
α = 90.00°, β = 109.63°, γ = 90.00°
With the nearest neighbours (Å) after each atom.
Space group C2/c (No. 15)
Asymmetric unit:
Li1 0.1221 0.0611 0.0968 [8 per cell]  5 I 2.83-3.06
Ga1 0.0000 0.3272 0.7500 [4 per cell]  4 I 2.60
I1 0.1185 0.2536 0.1059 [8 per cell]  1 Ga 2.60
I2 0.1230 0.0781 0.6105 [8 per cell]  4 Li 2.83-3.06
I3 0.1326 0.4070 0.6167 [8 per cell]  1 Ga 2.60

***

Please write out number 3 again, unchanged.
A plane-wave DFT calculation with PBE-GGA was carried out for crystalline Li4In2Sb at its relaxed geometry.

Energy relative to the elements, uncorrected   -0.102 eV/atom
Crystal system   tetragonal

a = 5.1399 Å, b = 5.1399 Å, c = 14.2136 Å
α = 90.00°, β = 90.00°, γ = 90.00°
With the nearest neighbours (Å) after each atom.
Space group I4/mmm (No. 139)
Asymmetric unit:
Li1 0.0000 0.0000 0.1905 [4 per cell]  1 Sb 2.71, 1 In 2.82
Li2 0.0000 0.5000 0.0000 [4 per cell]  2 Sb 2.57
In1 0.0000 0.0000 0.3887 [4 per cell]  5 Li 2.82-3.02
Sb1 0.0000 0.0000 0.0000 [2 per cell]  6 Li 2.57-2.71